Record 1
VASP calculation (PBE-GGA) on a relaxed POs2BrN crystal.

Computed properties:
Its uncorrected formation energy is 11.5 eV/f.u. The total DFT energy (no corrections) is -5.269 eV per atom. The value obtained for the density of states at the Fermi level is 1.091 states/eV per atom. The density comes out at 7.4 g/cm3.

Unit cell a=4.4205 b=4.4205 c=5.8036 alpha=90.00 beta=90.00 gamma=90.00
Closest atoms and distances in Å follow each position.
Space group P4/mmm (No. 123)
One atom of each set of equivalent atoms:
P 0.0000 0.0000 0.0000 x1  4 Os 2.21
Os 0.0000 0.5000 0.0000 x2  2 P 2.21
Br 0.0000 0.0000 0.5000 x1  2 P 2.90, 4 N 3.13
N 0.5000 0.5000 0.5000 x1  4 Br 3.13



Record 2
VASP calculation (PBE-GGA) on a relaxed LiSc2TcP crystal.

Computed properties:
The total DFT energy (no corrections) is -6.242 eV per atom. The value obtained for the density of states at the Fermi level is 0.948 states/eV per atom. The density comes out at 3.5 g/cm3.

Unit cell a=4.9672 b=4.9672 c=4.3635 alpha=90.00 beta=90.00 gamma=90.00
Closest atoms and distances in Å follow each position.
Space group P4/mmm (No. 123)
One atom of each set of equivalent atoms:
Li 0.0000 0.0000 0.0000 x1  8 Sc 3.31, 4 Tc 3.51
Sc 0.0000 0.5000 0.5000 x2  2 P 2.48
Tc 0.5000 0.5000 0.0000 x1  2 P 2.18
P 0.5000 0.5000 0.5000 x1  2 Tc 2.18



Record 3
VASP calculation (PBE-GGA) on a relaxed Ba2SnTe crystal.

Computed properties:
Its uncorrected formation energy is -3.4 eV/f.u. The total DFT energy (no corrections) is -3.597 eV per atom. For the excess energy over the best structure of this formula in the dataset, the calculation gives 0 meV per atom. The value obtained for the density of states at the Fermi level is 1.348 states/eV per atom. The density comes out at 5.5 g/cm3.

Unit cell a=8.5621 b=8.5621 c=8.5621 alpha=90.00 beta=90.00 gamma=90.00
Closest atoms and distances in Å follow each position.
Space group Fm-3m (No. 225)
One atom of each set of equivalent atoms:
Ba 0.2500 0.2500 0.2500 x8  4 Sn 3.71, 4 Te 3.71
Sn 0.0000 0.0000 0.0000 x4  8 Ba 3.71
Te 0.0000 0.0000 0.5000 x4  8 Ba 3.71



Record 4
VASP calculation (PBE-GGA) on a relaxed RbLi2Mg crystal.

Computed properties:
The total DFT energy (no corrections) is -1.470 eV per atom. The value obtained for the density of states at the Fermi level is 0.418 states/eV per atom. The density comes out at 1.6 g/cm3.

Unit cell a=3.8958 b=3.8958 c=8.6821 alpha=90.00 beta=90.00 gamma=90.00
Closest atoms and distances in Å follow each position.
Space group P4/mmm (No. 123)
One atom of each set of equivalent atoms:
Rb 0.0000 0.0000 0.0000 x1  4 Rb 3.90, 8 Li 4.04, 2 Mg 4.34
Li 0.5000 0.5000 0.3406 x2  1 Li 2.77, 4 Mg 3.08
Mg 0.0000 0.0000 0.5000 x1  8 Li 3.08



Record 5
VASP calculation (PBE-GGA) on a relaxed K3U2PaS6 crystal.

Computed properties:
Its uncorrected formation energy is -17.1 eV/f.u. The total DFT energy (no corrections) is -6.437 eV per atom. The value obtained for the density of states at the Fermi level is 0.711 states/eV per atom. The density comes out at 5.4 g/cm3.

Unit cell a=6.9449 b=12.0290 c=7.8636 alpha=90.00 beta=107.12 gamma=90.00
Closest atoms and distances in Å follow each position.
Space group C2/m (No. 12)
One atom of each set of equivalent atoms:
K 0.0000 0.0000 0.0000 x2  6 S 3.19-3.20
K 0.0000 0.3329 0.0000 x4  6 S 3.19-3.20
U 0.0000 0.1667 0.5000 x4  6 S 2.79
Pa 0.0000 0.5000 0.5000 x2  6 S 2.78
S 0.2347 0.3343 0.7070 x8  1 Pa 2.78, 2 U 2.79
S 0.2375 0.0000 0.7069 x4  1 Pa 2.78, 2 U 2.79



Record 6
VASP calculation (PBE-GGA) on a relaxed NpCdHgPb crystal.

Computed properties:
The total DFT energy (no corrections) is -4.290 eV per atom. The value obtained for the density of states at the Fermi level is 2.854 states/eV per atom. The density comes out at 12.1 g/cm3.

Unit cell a=7.4617 b=7.4617 c=7.4617 alpha=90.00 beta=90.00 gamma=90.00
Closest atoms and distances in Å follow each position.
Space group F-43m (No. 216)
One atom of each set of equivalent atoms:
Np 0.0000 0.0000 0.0000 x4  4 Pb 3.23, 4 Hg 3.23
Cd 0.0000 0.0000 0.5000 x4  4 Hg 3.23, 4 Pb 3.23
Hg 0.2500 0.2500 0.2500 x4  4 Np 3.23, 4 Cd 3.23
Pb 0.2500 0.2500 0.7500 x4  4 Cd 3.23, 4 Np 3.23